Entry 1:
Sm2HoIn | PBE | relaxed

Unit cell a=5.514 b=5.514 c=5.514 alpha=60.00 beta=60.00 gamma=60.00
Element x y z (fractional)
Ho 0.000 0.000 0.000
In 0.500 0.500 0.500
Sm 0.250 0.250 0.250
Sm 0.750 0.750 0.750

N(E_F): 6.67 states/eV/cell
offset from the most stable computed form: 121 meV/atom



Entry 2:
LiErP2Pt4 | PBE | relaxed

Unit cell a=4.070 b=4.070 c=8.699 alpha=90.00 beta=90.00 gamma=90.00
Element x y z (fractional)
Pt 0.500 0.000 0.244
Pt 0.000 0.500 0.756
Pt 0.500 0.000 0.756
Pt 0.000 0.500 0.244
Er 0.000 0.000 0.000
P 0.500 0.500 0.623
P 0.500 0.500 0.377
Li 0.000 0.000 0.500

N(E_F): 1.75 states/eV/cell
electronic total energy: -5.92 eV/atom



Entry 3:
Mg3SnIr | PBE | relaxed

Unit cell a=4.983 b=4.983 c=4.983 alpha=90.00 beta=90.00 gamma=90.00
Element x y z (fractional)
Ir 0.000 0.000 0.000
Sn 0.500 0.500 0.500
Mg 0.000 0.000 0.500
Mg 0.000 0.500 0.000
Mg 0.500 0.000 0.000

N(E_F): 3.22 states/eV/cell
offset from the most stable computed form: 254 meV/atom



Entry 4:
Ca2Al2GeRh5 | PBE | relaxed

Unit cell a=3.146 b=10.261 c=10.261 alpha=90.00 beta=90.00 gamma=90.00
Element x y z (fractional)
Al 0.000 0.629 0.871
Al 0.000 0.371 0.129
Al 0.000 0.129 0.629
Al 0.000 0.871 0.371
Ca 0.000 0.828 0.672
Ca 0.000 0.172 0.328
Ca 0.000 0.328 0.828
Ca 0.000 0.672 0.172
Rh 0.500 0.936 0.195
Rh 0.500 0.195 0.064
Rh 0.500 0.436 0.305
Rh 0.500 0.695 0.436
Rh 0.500 0.305 0.564
Rh 0.500 0.805 0.936
Rh 0.500 0.564 0.695
Rh 0.500 0.064 0.805
Rh 0.500 0.500 0.000
Rh 0.500 0.000 0.500
Ge 0.000 0.000 0.000
Ge 0.000 0.500 0.500

N(E_F): 7.94 states/eV/cell
electronic total energy: -5.97 eV/atom